(1)
The following is a meta-GGA SCAN calculation of a PBEsol-optimized structure of RePtRh2, from the Alexandria database.

Summary:
VASP energy = -52.339 eV/atom
energy of formation from the pure elements = -130 meV/atom
calculated density = 17.3 g cm⁻³

Geometry as CIF:
```
data_RePtRh2
_chemical_formula_sum 'Re3 Pt3 Rh6'
_space_group_name_H-M_alt 'R -3 m'
_space_group_IT_number 166
_space_group_name_Hall '-R 3 2"'
_cell_length_a 2.7045
_cell_length_b 2.7045
_cell_length_c 26.7393
_cell_angle_alpha 90.00
_cell_angle_beta 90.00
_cell_angle_gamma 120.00
loop_
_atom_site_label
_atom_site_fract_x
_atom_site_fract_y
_atom_site_fract_z
Re1 0.0000 0.0000 0.0000
Pt1 0.0000 0.0000 0.5000
Rh1 0.0000 0.0000 0.2532
```

(2)
The following is a meta-GGA SCAN calculation of a PBEsol-optimized structure of RePtRh, from the Alexandria database.

Summary:
VASP energy = -58.453 eV/atom
energy of formation from the pure elements = -99 meV/atom
calculated density = 18.7 g cm⁻³

Geometry as CIF:
```
data_RePtRh
_chemical_formula_sum 'Re1 Pt1 Rh1'
_space_group_name_H-M_alt 'P 3 m 1'
_space_group_IT_number 156
_cell_length_a 2.7207
_cell_length_b 2.7207
_cell_length_c 6.6907
_cell_angle_alpha 90.00
_cell_angle_beta 90.00
_cell_angle_gamma 120.00
loop_
_space_group_symop_operation_xyz
'x,y,z'
'-y,x-y,z'
'-x+y,-x,z'
'-y,-x,z'
'-x+y,y,z'
'x,x-y,z'
loop_
_atom_site_label
_atom_site_fract_x
_atom_site_fract_y
_atom_site_fract_z
Re1 0.0000 0.0000 0.0000
Pt1 0.6667 0.3333 0.3376
Rh1 0.3333 0.6667 0.6845
```

(3)
The following is a meta-GGA SCAN calculation of a PBEsol-optimized structure of RePt2Rh, from the Alexandria database.

Summary:
VASP energy = -61.376 eV/atom
energy of formation from the pure elements = -63 meV/atom
calculated density = 19.6 g cm⁻³

Geometry as CIF:
```
data_RePt2Rh
_chemical_formula_sum 'Re2 Pt4 Rh2'
_space_group_name_H-M_alt 'C 1 2/m 1'
_space_group_IT_number 12
_cell_length_a 9.072
_cell_length_b 2.726
_cell_length_c 4.721
_cell_angle_alpha 90.00
_cell_angle_beta 99.90
_cell_angle_gamma 90.00
loop_
_space_group_symop_operation_xyz
'x,y,z'
'-x,-y,-z'
'-x,y,-z'
'x,-y,z'
'x+1/2,y+1/2,z'
'-x+1/2,-y+1/2,-z'
'-x+1/2,y+1/2,-z'
'x+1/2,-y+1/2,z'
loop_
_atom_site_label
_atom_site_fract_x
_atom_site_fract_y
_atom_site_fract_z
Re1 0.000 0.000 0.000
Pt1 0.248 0.500 0.246
Rh1 0.000 0.500 0.500
```

(4)
The following is a meta-GGA SCAN calculation of a PBEsol-optimized structure of RePtRh2, from the Alexandria database.

Summary:
VASP energy = -52.288 eV/atom
energy of formation from the pure elements = -80 meV/atom
calculated density = 17.4 g cm⁻³

Geometry as CIF:
```
data_RePtRh2
_chemical_formula_sum 'Re2 Pt2 Rh4'
_space_group_name_H-M_alt 'I -4 m 2'
_space_group_IT_number 119
_space_group_name_Hall 'I -4 -2'
_cell_length_a 3.806
_cell_length_b 3.806
_cell_length_c 7.729
_cell_angle_alpha 90.00
_cell_angle_beta 90.00
_cell_angle_gamma 90.00
loop_
_atom_site_label
_atom_site_fract_x
_atom_site_fract_y
_atom_site_fract_z
Re1 0.000 0.000 0.000
Pt1 0.000 0.500 0.250
Rh1 0.000 0.000 0.500
Rh2 0.000 0.500 0.750
```

(5)
The following is a meta-GGA SCAN calculation of a PBEsol-optimized structure of RePtRh2, from the Alexandria database.

Summary:
VASP energy = -52.326 eV/atom
energy of formation from the pure elements = -118 meV/atom
calculated density = 17.4 g cm⁻³

Geometry as CIF:
```
data_RePtRh2
_chemical_formula_sum 'Re2 Pt2 Rh4'
_space_group_name_H-M_alt 'C 1 2/m 1'
_space_group_IT_number 12
_cell_length_a 8.997
_cell_length_b 2.690
_cell_length_c 4.708
_cell_angle_alpha 90.00
_cell_angle_beta 99.70
_cell_angle_gamma 90.00
loop_
_space_group_symop_operation_xyz
'x,y,z'
'-x,-y,-z'
'-x,y,-z'
'x,-y,z'
'x+1/2,y+1/2,z'
'-x+1/2,-y+1/2,-z'
'-x+1/2,y+1/2,-z'
'x+1/2,-y+1/2,z'
loop_
_atom_site_label
_atom_site_fract_x
_atom_site_fract_y
_atom_site_fract_z
Re1 0.000 0.000 0.000
Pt1 0.000 0.500 0.500
Rh1 0.246 0.500 0.241
```

(6)
The following is a meta-GGA SCAN calculation of a PBEsol-optimized structure of RePt2Rh, from the Alexandria database.

Summary:
VASP energy = -61.407 eV/atom
energy of formation from the pure elements = -93 meV/atom
calculated density = 19.6 g cm⁻³

Geometry as CIF:
```
data_RePt2Rh
_chemical_formula_sum 'Re1 Pt2 Rh1'
_space_group_name_H-M_alt 'P 4/m m m'
_space_group_IT_number 123
_space_group_name_Hall '-P 4 2'
_cell_length_a 2.717
_cell_length_b 2.717
_cell_length_c 7.800
_cell_angle_alpha 90.00
_cell_angle_beta 90.00
_cell_angle_gamma 90.00
loop_
_atom_site_label
_atom_site_fract_x
_atom_site_fract_y
_atom_site_fract_z
Re1 0.000 0.000 0.000
Pt1 0.500 0.500 0.246
Rh1 0.000 0.000 0.500
```

(7)
The following is a meta-GGA SCAN calculation of a PBEsol-optimized structure of ReRuPt2, from the Alexandria database.

Summary:
VASP energy = -61.695 eV/atom
energy of formation from the pure elements = -118 meV/atom
calculated density = 19.5 g cm⁻³

Geometry as CIF:
```
data_ReRuPt2
_chemical_formula_sum 'Re1 Ru1 Pt2'
_space_group_name_H-M_alt 'P 4 m m'
_space_group_IT_number 99
_cell_length_a 2.724
_cell_length_b 2.724
_cell_length_c 7.778
_cell_angle_alpha 90.00
_cell_angle_beta 90.00
_cell_angle_gamma 90.00
loop_
_space_group_symop_operation_xyz
'x,y,z'
'-y,x,z'
'-x,-y,z'
'y,-x,z'
'-x,y,z'
'y,x,z'
'x,-y,z'
'-y,-x,z'
loop_
_atom_site_label
_atom_site_fract_x
_atom_site_fract_y
_atom_site_fract_z
Re1 0.000 0.000 0.000
Ru1 0.500 0.500 0.226
Pt1 0.000 0.000 0.481
Pt2 0.500 0.500 0.749
```

(8)
The following is a meta-GGA SCAN calculation of a PBEsol-optimized structure of ReRuPt2, from the Alexandria database.

Summary:
VASP energy = -61.674 eV/atom
energy of formation from the pure elements = -96 meV/atom
calculated density = 19.6 g cm⁻³

Geometry as CIF:
```
data_ReRuPt2
_chemical_formula_sum 'Re1 Ru1 Pt2'
_space_group_name_H-M_alt 'P m m 2'
_space_group_IT_number 25
_cell_length_a 2.716
_cell_length_b 3.849
_cell_length_c 5.503
_cell_angle_alpha 90.00
_cell_angle_beta 90.00
_cell_angle_gamma 90.00
loop_
_space_group_symop_operation_xyz
'x,y,z'
'-x,-y,z'
'-x,y,z'
'x,-y,z'
loop_
_atom_site_label
_atom_site_fract_x
_atom_site_fract_y
_atom_site_fract_z
Re1 0.000 0.000 0.000
Ru1 0.500 0.500 0.227
Pt1 0.000 0.000 0.484
Pt2 0.500 0.500 0.745
```

(9)
The following is a meta-GGA SCAN calculation of a PBEsol-optimized structure of ReRuPt, from the Alexandria database.

Summary:
VASP energy = -58.810 eV/atom
energy of formation from the pure elements = -104 meV/atom
calculated density = 18.7 g cm⁻³

Geometry as CIF:
```
data_ReRuPt
_chemical_formula_sum 'Re2 Ru2 Pt2'
_space_group_name_H-M_alt 'I 4 m m'
_space_group_IT_number 107
_space_group_name_Hall 'I 4 -2'
_cell_length_a 2.725
_cell_length_b 2.725
_cell_length_c 11.548
_cell_angle_alpha 90.00
_cell_angle_beta 90.00
_cell_angle_gamma 90.00
loop_
_atom_site_label
_atom_site_fract_x
_atom_site_fract_y
_atom_site_fract_z
Re1 0.000 0.000 0.000
Ru1 0.000 0.000 0.651
Pt1 0.000 0.000 0.328
```

(10)
The following is a meta-GGA SCAN calculation of a PBEsol-optimized structure of ReRuPt, from the Alexandria database.

Summary:
VASP energy = -58.808 eV/atom
energy of formation from the pure elements = -103 meV/atom
calculated density = 18.8 g cm⁻³

Geometry as CIF:
```
data_ReRuPt
_chemical_formula_sum 'Re2 Ru2 Pt2'
_space_group_name_H-M_alt 'I m m 2'
_space_group_IT_number 44
_cell_length_a 2.699
_cell_length_b 3.852
_cell_length_c 8.189
_cell_angle_alpha 90.00
_cell_angle_beta 90.00
_cell_angle_gamma 90.00
loop_
_space_group_symop_operation_xyz
'x,y,z'
'-x,-y,z'
'-x,y,z'
'x,-y,z'
'x+1/2,y+1/2,z+1/2'
'-x+1/2,-y+1/2,z+1/2'
'-x+1/2,y+1/2,z+1/2'
'x+1/2,-y+1/2,z+1/2'
loop_
_atom_site_label
_atom_site_fract_x
_atom_site_fract_y
_atom_site_fract_z
Re1 0.000 0.000 0.000
Ru1 0.000 0.000 0.655
Pt1 0.000 0.000 0.327
```

(11)
The following is a meta-GGA SCAN calculation of a PBEsol-optimized structure of ReRuPt2, from the Alexandria database.

Summary:
VASP energy = -61.638 eV/atom
energy of formation from the pure elements = -61 meV/atom
calculated density = 19.6 g cm⁻³

Geometry as CIF:
```
data_ReRuPt2
_chemical_formula_sum 'Re2 Ru2 Pt4'
_space_group_name_H-M_alt 'I -4 m 2'
_space_group_IT_number 119
_space_group_name_Hall 'I -4 -2'
_cell_length_a 3.868
_cell_length_b 3.868
_cell_length_c 7.661
_cell_angle_alpha 90.00
_cell_angle_beta 90.00
_cell_angle_gamma 90.00
loop_
_atom_site_label
_atom_site_fract_x
_atom_site_fract_y
_atom_site_fract_z
Re1 0.000 0.000 0.000
Ru1 0.000 0.500 0.250
Pt1 0.000 0.000 0.500
Pt2 0.000 0.500 0.750
```

(12)
The following is a meta-GGA SCAN calculation of a PBEsol-optimized structure of ReRuPt2, from the Alexandria database.

Summary:
VASP energy = -61.643 eV/atom
energy of formation from the pure elements = -65 meV/atom
calculated density = 19.6 g cm⁻³

Geometry as CIF:
```
data_ReRuPt2
_chemical_formula_sum 'Re2 Ru2 Pt4'
_space_group_name_H-M_alt 'C 1 m 1'
_space_group_IT_number 8
_cell_length_a 9.078
_cell_length_b 2.706
_cell_length_c 4.742
_cell_angle_alpha 90.00
_cell_angle_beta 99.68
_cell_angle_gamma 90.00
loop_
_space_group_symop_operation_xyz
'x,y,z'
'x,-y,z'
'x+1/2,y+1/2,z'
'x+1/2,-y+1/2,z'
loop_
_atom_site_label
_atom_site_fract_x
_atom_site_fract_y
_atom_site_fract_z
Re1 0.000 0.000 0.000
Ru1 0.257 0.000 0.768
Pt1 0.006 0.500 0.511
Pt2 0.250 0.500 0.253
```